VASP calculation (GGA-PBE) on a geometry-optimized BeTcI2N structure.

a b c (Å): 5.7278 5.7278 3.1911
angles (deg): 90.00 90.00 90.00
Space group P4/mmm (No. 123)
Unique sites:
Be 0.0000 0.0000 0.0000
Tc 0.5000 0.5000 0.5000
I 0.0000 0.5000 0.0000
N 0.0000 0.0000 0.5000

Its density of states at the Fermi level is 3.27 states/eV/cell. For the polymorph energy (0 for the lowest one), the calculation gives 199 meV per atom. The formation energy (no corrections) is 0.9577 eV/atom. The value obtained for the total energy is -4.146 eV per atom. The calculation puts the density at 5.9 g/cm³.